LaGeBr2: optimized geometry, GGA-PBEsol.

Computed properties:
The calculation puts the polymorph energy (0 for the lowest one) at 0 meV/atom. Its crystal system is trigonal. The value obtained for the energy is -4.342 eV per atom. The space group is R-3m. The uncorrected formation energy comes out at -835 meV/atom.

Cell: 3.6155 3.6155 10.1757 Å, 79.77 79.77 60.00°
Last column: nearest neighbours and their distance in Å.
Fractional positions:
Ge (0.0000, 0.0000, 0.0000)  2 Br 2.81
Br (0.9061, 0.9061, 0.2818)  1 Ge 2.81, 3 La 3.01
Br (0.0939, 0.0939, 0.7182)  1 Ge 2.81, 3 La 3.01
La (0.5000, 0.5000, 0.5000)  6 Br 3.01